7
Lattice="-1.836 1.836 5.947 1.836 -1.836 5.947 1.836 1.836 -5.947" Properties=species:S:1:pos:R:3 comment="PBE-GGA CaDyAlO4, optimized geometry" formation_energy_uncorrected_mev_per_atom=-3202 spacegroup="I4mm, No. 107" dos_at_fermi_per_ev_cell=0.0 pbc="T T T"
Ca 0.000 0.000 0.000
Dy 0.000 0.000 8.496
Al 0.000 0.000 4.292
O 0.000 0.000 2.237
O 1.836 0.000 4.157
O 0.000 0.000 6.252
O 0.000 1.836 4.157